i) VASP calculation (PBE-GGA) on a relaxed structure of BaNb8O14.

a = 13.153 Å, b = 9.660 Å, c = 10.452 Å
α = 90.00°, β = 112.92°, γ = 90.00°
Space group P2_1/c (No. 14)
Unique sites:
Ba (0.228, 0.012, 0.383) (multiplicity 4)
Nb (0.008, 0.655, 0.581) (multiplicity 4)
Nb (0.136, 0.114, 0.729) (multiplicity 4)
Nb (0.137, 0.623, 0.390) (multiplicity 4)
Nb (0.259, 0.117, 0.044) (multiplicity 4)
Nb (0.259, 0.617, 0.215) (multiplicity 4)
Nb (0.367, 0.123, 0.857) (multiplicity 4)
Nb (0.367, 0.625, 0.511) (multiplicity 4)
Nb (0.497, 0.617, 0.838) (multiplicity 4)
O (0.002, 0.244, 0.086) (multiplicity 4)
O (0.009, 0.014, 0.773) (multiplicity 4)
O (0.117, 0.501, 0.553) (multiplicity 4)
O (0.123, 0.239, 0.906) (multiplicity 4)
O (0.131, 0.745, 0.725) (multiplicity 4)
O (0.141, 0.002, 0.574) (multiplicity 4)
O (0.250, 0.747, 0.033) (multiplicity 4)
O (0.252, 0.242, 0.223) (multiplicity 4)
O (0.372, 0.508, 0.691) (multiplicity 4)
O (0.374, 0.245, 0.525) (multiplicity 4)
O (0.378, 0.007, 0.687) (multiplicity 4)
O (0.380, 0.742, 0.857) (multiplicity 4)
O (0.500, 0.000, 0.000) (multiplicity 2)
O (0.500, 0.000, 0.500) (multiplicity 2)
O (0.500, 0.228, 0.820) (multiplicity 4)

ii) VASP calculation (PBE-GGA) on a relaxed structure of BaNb8O14.

a = 9.511 Å, b = 10.399 Å, c = 6.026 Å
α = 90.00°, β = 90.00°, γ = 90.00°
Space group Pbam (No. 55)
Unique sites:
Ba (0.000, 0.000, 0.000) (multiplicity 2)
Nb (0.118, 0.164, 0.500) (multiplicity 4)
Nb (0.119, 0.665, 0.000) (multiplicity 4)
Nb (0.124, 0.424, 0.231) (multiplicity 8)
O (0.000, 0.000, 0.500) (multiplicity 2)
O (0.000, 0.500, 0.500) (multiplicity 2)
O (0.006, 0.247, 0.247) (multiplicity 8)
O (0.232, 0.323, 0.500) (multiplicity 4)
O (0.244, 0.087, 0.250) (multiplicity 8)
O (0.244, 0.844, 0.000) (multiplicity 4)

The least stable of the structures above is i), whereas ii) is the most stable.